[1]
Material: Ba3ZnI2
Method: DFT, GGA-PBE
State: optimized geometry

Summary:
* ΔE_f (raw): -930.9 meV/atom

POSCAR file:
```
Ba3ZnI2
1.0
2.4749 8.1056 1.0311
1.9985 1.2286 8.7161
8.1731 2.1025 -0.7998
Zn I Ba
2 4 6
Direct
0.6691 0.0000 0.6618
0.3309 0.0000 0.3382
0.1561 0.5000 0.6877
0.0000 0.0000 0.0000
0.8439 0.5000 0.3123
0.5000 0.5000 0.0000
0.4298 0.7727 0.6472
0.0770 0.7727 0.3528
0.7201 0.7795 0.0000
0.2799 0.2205 0.0000
0.9230 0.2273 0.6472
0.5702 0.2273 0.3528
```

***

[2]
Material: BaZnI
Method: DFT, GGA-PBE
State: optimized geometry

Summary:
* ΔE_f (raw): -826.7 meV/atom

POSCAR file:
```
BaZnI
1.0
4.8745 0.3561 -0.2364
2.1497 4.3893 -0.2364
-0.4651 -0.3142 13.1697
Ba Zn I
2 2 2
Direct
0.2867 0.2867 0.1974
0.7133 0.7133 0.8026
0.7509 0.2491 0.0000
0.2491 0.7509 0.0000
0.6451 0.6451 0.3487
0.3549 0.3549 0.6513
```

***

[3]
Material: BaZnI3
Method: DFT, GGA-PBE
State: optimized geometry

Summary:
* ΔE_f (raw): -912.4 meV/atom

POSCAR file:
```
BaZnI3
1.0
-3.9402 4.0674 1.0023
-2.2078 -0.8469 -5.2424
-3.5601 -3.9765 2.1417
I Ba Zn
3 1 1
Direct
0.5000 0.0000 0.0000
0.0000 0.0000 0.5000
0.0000 0.5000 0.0000
0.5000 0.5000 0.5000
0.0000 0.0000 0.0000
```

***

[4]
Material: Ba2Zn2I
Method: DFT, GGA-PBE
State: optimized geometry

Summary:
* energy above the most stable polymorph in this dataset: 0.000 kcal/mol of atoms
* ΔE_f (raw): -721.9 meV/atom

POSCAR file:
```
Ba2Zn2I
1.0
-1.1150 -1.3818 4.3492
-3.0593 -0.6055 -3.5131
5.4774 -7.4182 -3.4857
Ba I Zn
2 1 2
Direct
0.1528 0.5767 0.7294
0.8472 0.4233 0.2706
0.0000 0.0000 0.0000
0.6661 0.8332 0.4993
0.3339 0.1668 0.5007
```

***

[5]
Material: BaZn2I
Method: DFT, GGA-PBE
State: optimized geometry

Summary:
* energy above the most stable polymorph in this dataset: 0.000 kcal/mol of atoms
* ΔE_f (raw): -281.9 meV/atom

POSCAR file:
```
BaZn2I
1.0
-4.0908 -8.0639 2.0695
0.3314 -2.4617 -8.9373
1.1385 -6.6660 -2.9355
I Ba Zn
2 2 4
Direct
0.2500 0.7500 0.5000
0.5000 0.5000 0.0000
0.7500 0.2500 0.5000
0.0000 0.0000 0.0000
0.3750 0.3865 0.7500
0.1365 0.6250 0.2500
0.8750 0.8635 0.7500
0.6135 0.1250 0.2500
```

***

[6]
Material: Ba2Zn2I
Method: DFT, GGA-PBE
State: optimized geometry

Summary:
* energy above the most stable polymorph in this dataset: 5.476 kcal/mol of atoms
* ΔE_f (raw): -484.5 meV/atom

POSCAR file:
```
Ba2Zn2I
1.0
-7.7483 -5.0240 2.6055
-0.7357 -3.4858 -8.9092
2.5722 -3.3894 1.1137
I Ba Zn
2 4 4
Direct
0.0000 0.0000 0.0000
0.5000 0.5000 0.0000
0.1946 0.3054 0.0000
0.3054 0.8054 0.0000
0.6946 0.1946 0.0000
0.8054 0.6946 0.0000
0.0904 0.5904 0.5000
0.9096 0.4096 0.5000
0.4096 0.0904 0.5000
0.5904 0.9096 0.5000
```

***

[7]
Material: Ba2ZnI2
Method: DFT, GGA-PBE
State: optimized geometry

Summary:
* energy above the most stable polymorph in this dataset: 0.000 kcal/mol of atoms
* ΔE_f (raw): -897.4 meV/atom

POSCAR file:
```
Ba2ZnI2
1.0
-2.9723 -6.0356 6.1705
2.1953 -6.8401 -5.6332
4.7068 -0.1975 2.0741
Ba Zn I
4 2 4
Direct
0.1661 0.3339 0.0000
0.3339 0.8339 0.0000
0.8339 0.6661 0.0000
0.6661 0.1661 0.0000
0.5000 0.5000 0.0000
0.0000 0.0000 0.0000
0.8530 0.3530 0.5000
0.3530 0.1470 0.5000
0.6470 0.8530 0.5000
0.1470 0.6470 0.5000
```

***

[8]
Material: Ba2ZnI
Method: DFT, GGA-PBE
State: optimized geometry

Summary:
* energy above the most stable polymorph in this dataset: 0.803 kcal/mol of atoms
* ΔE_f (raw): -689.8 meV/atom

POSCAR file:
```
Ba2ZnI
1.0
4.1459 0.0000 0.0000
0.0000 4.1459 0.0000
0.0000 0.0000 9.1028
Ba Zn I
2 1 1
Direct
0.0000 0.0000 0.7801
0.0000 0.0000 0.2199
0.5000 0.5000 0.0000
0.5000 0.5000 0.5000
```

***

[9]
Material: Ba2ZnI
Method: DFT, GGA-PBE
State: optimized geometry

Summary:
* energy above the most stable polymorph in this dataset: 4.352 kcal/mol of atoms
* ΔE_f (raw): -535.9 meV/atom

POSCAR file:
```
Ba2ZnI
1.0
-1.5456 -4.7937 3.3940
-3.5455 0.7467 4.8744
-5.7177 -2.0475 -0.0614
Zn I Ba
1 1 2
Direct
0.0000 0.0000 0.0000
0.5000 0.5000 0.5000
0.7500 0.7500 0.7500
0.2500 0.2500 0.2500
```

***

[10]
Material: Ba4ZnI4
Method: DFT, GGA-PBE
State: optimized geometry

Summary:
* ΔE_f (raw): -1003.5 meV/atom

POSCAR file:
```
Ba4ZnI4
1.0
8.0699 0.0000 -3.9936
-1.9764 7.8241 -3.9936
-0.8692 -1.1161 8.3938
Ba I Zn
4 4 1
Direct
0.6505 0.6505 0.7359
0.0854 0.0854 0.7359
0.9146 0.3495 0.2641
0.3495 0.9146 0.2641
0.0000 0.5000 0.0000
0.5000 0.0000 0.0000
0.6718 0.6718 0.3436
0.3282 0.3282 0.6564
0.0000 0.0000 0.0000
```

***

[11]
Material: Ba2ZnI2
Method: DFT, GGA-PBE
State: optimized geometry

Summary:
* energy above the most stable polymorph in this dataset: 2.876 kcal/mol of atoms
* ΔE_f (raw): -772.7 meV/atom

POSCAR file:
```
Ba2ZnI2
1.0
-4.1347 5.0395 -1.5038
-4.9941 -3.1630 3.1317
-3.2362 3.4029 5.4215
Zn I Ba
1 2 2
Direct
0.0000 0.0000 0.0000
0.3254 0.3254 0.3492
0.6746 0.6746 0.6508
0.7500 0.2500 0.5000
0.2500 0.7500 0.5000
```

***

[12]
Material: Ba2ZrI4
Method: DFT, GGA-PBE
State: optimized geometry

Summary:
* ΔE_f (raw): -904.8 meV/atom

POSCAR file:
```
Ba2ZrI4
1.0
5.6812 0.0000 0.0000
0.0000 5.6812 0.0000
2.8406 2.8406 8.8235
I Ba Zr
4 2 1
Direct
0.0000 0.5000 0.0000
0.1761 0.1761 0.6478
0.8239 0.8239 0.3522
0.5000 0.0000 0.0000
0.6255 0.6255 0.7490
0.3745 0.3745 0.2510
0.0000 0.0000 0.0000
```